No. 1
Computed, not measured: an optimized crystal structure of Sr2Li3Zn12Ir at the PBE level of DFT.

Computed properties:
The formation enthalpy at 0 K is -5.7 kJ per mole of atoms. Its total energy is -1.906 eV/atom.

Lattice parameters (Å, degrees): 10.477 10.477 10.477 35.84 35.84 35.84
Atoms (fractional coordinates):
Sr: 0.150 0.150 0.150
Sr: 0.850 0.850 0.850
Li: 0.000 0.500 0.500
Li: 0.500 0.000 0.500
Li: 0.500 0.500 0.000
Zn: 0.082 0.082 0.687
Zn: 0.082 0.687 0.082
Zn: 0.148 0.572 0.572
Zn: 0.313 0.918 0.918
Zn: 0.428 0.428 0.852
Zn: 0.428 0.852 0.428
Zn: 0.572 0.148 0.572
Zn: 0.572 0.572 0.148
Zn: 0.687 0.082 0.082
Zn: 0.852 0.428 0.428
Zn: 0.918 0.313 0.918
Zn: 0.918 0.918 0.313
Ir: 0.500 0.500 0.500



No. 2
Computed, not measured: an optimized crystal structure of YZrV at the PBE level of DFT.

Computed properties:
As for the distance to the lowest polymorph of the same formula: 47.1 meV/atom. The formation enthalpy at 0 K is 22.0 kJ per mole of atoms. Its total energy is -7.815 eV/atom.

Lattice parameters (Å, degrees): 5.333 3.277 8.055 90.00 103.10 90.00
Atoms (fractional coordinates):
Y: 0.218 0.000 0.407
Y: 0.782 0.500 0.593
Zr: 0.356 0.770 0.838
Zr: 0.644 0.270 0.162
V: 0.126 0.520 0.091
V: 0.874 0.020 0.909



No. 3
Computed, not measured: an optimized crystal structure of CaCu2Se2 at the PBE level of DFT.

Computed properties:
The value obtained for the formation energy from raw total energies is -0.749 eV per atom. Its total energy is -4.182 eV/atom.

Lattice parameters (Å, degrees): 6.963 6.679 6.357 64.52 59.98 55.50
Atoms (fractional coordinates):
Ca: 0.125 0.125 0.125
Ca: 0.875 0.875 0.875
Cu: 0.242 0.508 0.242
Cu: 0.492 0.758 0.492
Cu: 0.508 0.242 0.508
Cu: 0.758 0.492 0.758
Se: 0.159 0.159 0.591
Se: 0.409 0.409 0.841
Se: 0.591 0.591 0.159
Se: 0.841 0.841 0.409



No. 4
Computed, not measured: an optimized crystal structure of Pu2U4P3N2 at the PBE level of DFT.

Computed properties:
The value obtained for the formation energy from raw total energies is -0.100 eV per atom. Its total energy is -9.800 eV/atom.

Lattice parameters (Å, degrees): 10.797 10.797 10.797 154.61 154.61 36.22
Atoms (fractional coordinates):
Pu: 0.120 0.120 0.000
Pu: 0.880 0.880 0.000
U: 0.159 0.659 0.500
U: 0.341 0.841 0.500
U: 0.659 0.159 0.500
U: 0.841 0.341 0.500
P: 0.000 0.000 0.000
P: 0.244 0.244 0.000
P: 0.756 0.756 0.000
N: 0.328 0.328 0.000
N: 0.672 0.672 0.000



No. 5
Computed, not measured: an optimized crystal structure of SrMoPb4 at the PBE level of DFT.

Computed properties:
The formation enthalpy at 0 K is 49.0 kJ per mole of atoms. Its total energy is -4.050 eV/atom.

Lattice parameters (Å, degrees): 6.471 6.471 6.471 60.00 60.00 60.00
Atoms (fractional coordinates):
Sr: 0.000 0.000 0.000
Mo: 0.750 0.750 0.750
Pb: 0.376 0.376 0.376
Pb: 0.376 0.376 0.873
Pb: 0.376 0.873 0.376
Pb: 0.873 0.376 0.376



No. 6
Computed, not measured: an optimized crystal structure of NaPrNdGa at the PBE level of DFT.

Computed properties:
The formation enthalpy at 0 K is -14.4 kJ per mole of atoms. Its total energy is -3.622 eV/atom.

Lattice parameters (Å, degrees): 5.403 5.403 5.403 60.00 60.00 60.00
Atoms (fractional coordinates):
Na: 0.000 0.000 0.000
Pr: 0.750 0.750 0.750
Nd: 0.250 0.250 0.250
Ga: 0.500 0.500 0.500



No. 7
Computed, not measured: an optimized crystal structure of Mg2PH2 at the PBE level of DFT.

Computed properties:
As for the distance to the lowest polymorph of the same formula: 408.3 meV/atom. Its total energy is -2.866 eV/atom.

Lattice parameters (Å, degrees): 6.536 6.536 2.794 90.00 90.00 90.00
Atoms (fractional coordinates):
Mg: 0.165 0.335 0.000
Mg: 0.335 0.835 0.000
Mg: 0.665 0.165 0.000
Mg: 0.835 0.665 0.000
P: 0.000 0.000 0.500
P: 0.500 0.500 0.500
H: 0.106 0.606 0.500
H: 0.394 0.106 0.500
H: 0.606 0.894 0.500
H: 0.894 0.394 0.500



No. 8
Computed, not measured: an optimized crystal structure of HfGaPb3 at the PBE level of DFT.

Computed properties:
As for the distance to the lowest polymorph of the same formula: 0.0 meV/atom. The formation enthalpy at 0 K is 41.6 kJ per mole of atoms. Its total energy is -4.390 eV/atom.

Lattice parameters (Å, degrees): 5.643 5.643 5.643 90.00 90.00 90.00
Atoms (fractional coordinates):
Hf: 0.000 0.000 0.000
Ga: 0.500 0.500 0.500
Pb: 0.000 0.000 0.500
Pb: 0.000 0.500 0.000
Pb: 0.500 0.000 0.000



Asked for M_tot across the records above, the calculation gives 0.00; 0.00; 0.00; 2.23; 3.53; 0.00; 0.00; 0.00 μB/f.u. in order.